PaAl2Tl2O7, optimized geometry, DFT PBE; M_tot = 0.00 μB per cell; raw total energy = -7.01 eV/atom; formation energy from raw total energies = -2.31 eV per atom
1.0
-0.0178 1.5204 -3.3813
-3.7072 -0.0362 0.0035
-1.9477 11.0552 2.9609
Pa Al Tl O
1 2 2 7
Direct
0.0000 0.0000 0.0000
0.5864 0.5864 0.8261
0.4136 0.4136 0.1739
0.8093 0.8093 0.3822
0.1907 0.1907 0.6178
0.5000 0.5000 0.0000
0.3326 0.3326 0.3369
0.6674 0.6674 0.6631
0.9297 0.4298 0.1415
0.4298 0.9297 0.1415
0.5702 0.0703 0.8585
0.0703 0.5702 0.8585